Ag2Hg2Sb | GGA-PBE | relaxed

Output
mass density = 10.89 g/cm³
ΔE_f (raw) = 0.152 eV per atom
DOS(E_F) = 4.278 states/eV per cell
E above lowest polymorph = 0 meV per atom
SG = P4/mbm (127)

Geometry as extended XYZ:
```
10
Lattice="8.0825 0.0000 0.0000 0.0000 8.0825 0.0000 0.0000 0.0000 3.4482" Properties=species:S:1:pos:R:3 pbc="T T T"
Ag 1.0606 2.9807 0.0000
Ag 2.9807 7.0219 0.0000
Ag 5.1018 1.0606 0.0000
Ag 7.0219 5.1018 0.0000
Hg 1.3447 5.3859 1.7241
Hg 2.6966 1.3447 1.7241
Hg 5.3859 6.7378 1.7241
Hg 6.7378 2.6966 1.7241
Sb 0.0000 0.0000 0.0000
Sb 4.0412 4.0412 0.0000
```